VASP calculation (GGA-PBE) on an optimized crystal structure of Cs3Hg2Bi4Pb2.

Lattice parameters (Å, degrees): 5.246 5.246 21.026 90.00 90.00 120.00
Sites, in units of the cell vectors:
Pb 0.667 0.333 0.447
Pb 0.333 0.667 0.553
Bi 0.333 0.667 0.859
Bi 0.333 0.667 0.402
Bi 0.667 0.333 0.141
Bi 0.667 0.333 0.598
Hg 0.333 0.667 0.137
Hg 0.667 0.333 0.863
Cs 0.000 0.000 0.000
Cs 0.000 0.000 0.726
Cs 0.000 0.000 0.274

Output
Formation enthalpy at 0 K ... -246 meV per atom
SG ... P-3m1 (164)
Crystal system ... trigonal



VASP calculation (GGA-PBE) on an optimized crystal structure of Cs2Hg6BiPb.

Lattice parameters (Å, degrees): 7.779 8.532 8.172 61.41 59.58 92.08
Sites, in units of the cell vectors:
Hg 0.860 0.344 0.002
Hg 0.354 0.384 0.768
Hg 0.373 0.148 0.487
Hg 0.646 0.616 0.232
Hg 0.627 0.852 0.513
Hg 0.140 0.656 0.998
Cs 0.195 0.802 0.398
Cs 0.805 0.198 0.602
Bi 0.000 0.000 0.000
Pb 0.500 0.500 0.000

Output
Formation enthalpy at 0 K ... -141 meV per atom
SG ... P-1 (2)
Crystal system ... triclinic



VASP calculation (GGA-PBE) on an optimized crystal structure of CsHg2BiPb.

Lattice parameters (Å, degrees): 6.120 6.120 6.172 90.00 90.00 90.00
Sites, in units of the cell vectors:
Hg 0.500 0.000 0.000
Hg 0.000 0.500 0.000
Pb 0.000 0.000 0.000
Bi 0.000 0.000 0.500
Cs 0.500 0.500 0.500

Output
Formation enthalpy at 0 K ... -38 meV per atom
SG ... P4/mmm (123)
Offset from the most stable computed form ... 141 meV/atom
Crystal system ... tetragonal



VASP calculation (GGA-PBE) on an optimized crystal structure of Cs2Hg4Bi3Pb.

Lattice parameters (Å, degrees): 5.371 5.371 12.438 90.00 90.00 90.00
Sites, in units of the cell vectors:
Hg 0.000 0.500 0.367
Hg 0.500 0.000 0.633
Hg 0.500 0.500 0.000
Hg 0.000 0.000 0.000
Bi 0.000 0.000 0.500
Bi 0.000 0.500 0.126
Bi 0.500 0.000 0.874
Pb 0.500 0.500 0.500
Cs 0.500 0.000 0.239
Cs 0.000 0.500 0.761

Output
Formation enthalpy at 0 K ... -176 meV per atom
SG ... P-4m2 (115)
Crystal system ... tetragonal



VASP calculation (GGA-PBE) on an optimized crystal structure of CsHg2Bi2Pb2.

Lattice parameters (Å, degrees): 5.496 5.496 11.002 75.54 75.54 60.00
Sites, in units of the cell vectors:
Bi 0.233 0.233 0.300
Bi 0.767 0.767 0.700
Pb 0.867 0.867 0.400
Pb 0.133 0.133 0.600
Cs 0.000 0.000 0.000
Hg 0.599 0.599 0.204
Hg 0.401 0.401 0.796

Output
Formation enthalpy at 0 K ... -143 meV per atom
SG ... R-3m (166)
Crystal system ... trigonal



VASP calculation (GGA-PBE) on an optimized crystal structure of CsHgBiPd2.

Lattice parameters (Å, degrees): 4.709 7.097 10.448 103.34 90.00 90.00
Sites, in units of the cell vectors:
Hg 0.250 0.397 0.563
Hg 0.750 0.603 0.437
Cs 0.750 0.063 0.741
Cs 0.250 0.937 0.259
Bi 0.750 0.674 0.962
Bi 0.250 0.326 0.038
Pd 0.250 0.532 0.843
Pd 0.750 0.468 0.157
Pd 0.250 0.456 0.309
Pd 0.750 0.544 0.691

Output
Formation enthalpy at 0 K ... -217 meV per atom
SG ... P2_1/m (11)
Crystal system ... monoclinic



VASP calculation (GGA-PBE) on an optimized crystal structure of CsPrHg2Bi2.

Lattice parameters (Å, degrees): 5.166 5.166 9.761 90.00 90.00 120.00
Sites, in units of the cell vectors:
Hg 0.667 0.333 0.357
Hg 0.333 0.667 0.643
Bi 0.333 0.667 0.282
Bi 0.667 0.333 0.718
Pr 0.000 0.000 0.500
Cs 0.000 0.000 0.000

Output
Formation enthalpy at 0 K ... -427 meV per atom
SG ... P-3m1 (164)
Crystal system ... trigonal



VASP calculation (GGA-PBE) on an optimized crystal structure of CsHg2BiPt.

Lattice parameters (Å, degrees): 5.458 5.458 5.550 90.00 90.00 90.00
Sites, in units of the cell vectors:
Hg 0.500 0.000 0.000
Hg 0.000 0.500 0.000
Bi 0.000 0.000 0.500
Cs 0.500 0.500 0.500
Pt 0.000 0.000 0.000

Output
Formation enthalpy at 0 K ... -148 meV per atom
SG ... P4/mmm (123)
Crystal system ... tetragonal



VASP calculation (GGA-PBE) on an optimized crystal structure of Cs2HgBiPt.

Lattice parameters (Å, degrees): 6.974 6.974 5.161 90.00 90.00 90.00
Sites, in units of the cell vectors:
Hg 0.500 0.500 0.500
Cs 0.000 0.500 0.000
Cs 0.500 0.000 0.000
Bi 0.000 0.000 0.500
Pt 0.000 0.000 0.000

Output
Formation enthalpy at 0 K ... -181 meV per atom
SG ... P4/mmm (123)
Crystal system ... tetragonal



VASP calculation (GGA-PBE) on an optimized crystal structure of Cs4Hg2Bi2Pt.

Lattice parameters (Å, degrees): 6.706 8.479 8.479 68.53 81.93 81.93
Site moments in Bohr magnetons follow the coordinates.
Sites, in units of the cell vectors:
Bi 0.779 0.842 0.842  0.25
Bi 0.221 0.158 0.158  0.25
Cs 0.736 0.864 0.359  0.01
Cs 0.264 0.641 0.136  0.01
Cs 0.736 0.359 0.864  0.01
Cs 0.264 0.136 0.641  0.01
Hg 0.192 0.659 0.659  0.01
Hg 0.808 0.341 0.341  0.01
Pt 0.500 0.000 0.000  0.29

Output
Formation enthalpy at 0 K ... -244 meV per atom
SG ... C2/m (12)
Crystal system ... monoclinic



VASP calculation (GGA-PBE) on an optimized crystal structure of Cs2RbHg2Bi2.

Lattice parameters (Å, degrees): 5.421 7.058 10.239 114.48 90.00 112.58
Sites, in units of the cell vectors:
Cs 0.108 0.217 0.417
Cs 0.892 0.783 0.583
Hg 0.339 0.679 0.276
Hg 0.661 0.321 0.724
Bi 0.768 0.535 0.125
Bi 0.232 0.465 0.875
Rb 0.000 0.000 0.000

Output
Formation enthalpy at 0 K ... -228 meV per atom
SG ... C2/m (12)
Crystal system ... monoclinic



VASP calculation (GGA-PBE) on an optimized crystal structure of CsRb2HgBi.

Lattice parameters (Å, degrees): 6.888 6.888 6.001 90.00 90.00 90.00
Sites, in units of the cell vectors:
Cs 0.500 0.500 0.500
Hg 0.000 0.000 0.000
Bi 0.000 0.000 0.500
Rb 0.000 0.500 0.000
Rb 0.500 0.000 0.000

Output
Formation enthalpy at 0 K ... -162 meV per atom
SG ... P4/mmm (123)
Offset from the most stable computed form ... 0 meV/atom
Crystal system ... tetragonal



VASP calculation (GGA-PBE) on an optimized crystal structure of CsRb2HgBi2.

Lattice parameters (Å, degrees): 8.161 9.838 9.885 119.84 114.38 90.00
Sites, in units of the cell vectors:
Hg 0.750 0.500 0.000
Hg 0.250 0.500 0.000
Bi 0.909 0.226 0.819
Bi 0.091 0.774 0.181
Bi 0.591 0.407 0.181
Bi 0.409 0.593 0.819
Rb 0.674 0.846 0.348
Rb 0.826 0.498 0.652
Rb 0.326 0.154 0.652
Rb 0.174 0.502 0.348
Cs 0.250 0.000 0.000
Cs 0.750 0.000 0.000

Output
Formation enthalpy at 0 K ... -237 meV per atom
SG ... Ibam (72)
Crystal system ... orthorhombic



VASP calculation (GGA-PBE) on an optimized crystal structure of CsRbHgBi2.

Lattice parameters (Å, degrees): 4.748 6.048 9.334 108.90 104.73 90.00
Sites, in units of the cell vectors:
Hg 0.853 0.853 0.707
Bi 0.663 0.163 0.325
Bi 0.046 0.046 0.092
Rb 0.188 0.688 0.376
Cs 0.463 0.463 0.925

Output
Formation enthalpy at 0 K ... -274 meV per atom
SG ... Imm2 (44)
Crystal system ... orthorhombic



VASP calculation (GGA-PBE) on an optimized crystal structure of CsRbHg2Bi2.

Lattice parameters (Å, degrees): 5.086 5.086 11.590 90.00 90.00 120.00
Sites, in units of the cell vectors:
Hg 0.333 0.667 0.274
Hg 0.667 0.333 0.726
Rb 0.000 0.000 0.500
Bi 0.333 0.667 0.748
Bi 0.667 0.333 0.252
Cs 0.000 0.000 0.000

Output
Formation enthalpy at 0 K ... -323 meV per atom
SG ... P-3m1 (164)
Crystal system ... trigonal



VASP calculation (GGA-PBE) on an optimized crystal structure of CsRb2Hg2Bi2.

Lattice parameters (Å, degrees): 5.476 5.476 12.401 77.25 77.25 60.00
Sites, in units of the cell vectors:
Rb 0.132 0.132 0.605
Rb 0.868 0.868 0.395
Cs 0.000 0.000 0.000
Bi 0.254 0.254 0.237
Bi 0.746 0.746 0.763
Hg 0.591 0.591 0.226
Hg 0.409 0.409 0.774

Output
Formation enthalpy at 0 K ... -286 meV per atom
SG ... R-3m (166)
Crystal system ... trigonal



VASP calculation (GGA-PBE) on an optimized crystal structure of Cs2RbHgBi2.

Lattice parameters (Å, degrees): 9.143 8.140 10.230 113.44 116.54 90.00
Sites, in units of the cell vectors:
Bi 0.398 0.589 0.177
Bi 0.221 0.911 0.823
Bi 0.779 0.089 0.177
Bi 0.602 0.411 0.823
Hg 0.500 0.250 0.000
Hg 0.500 0.750 0.000
Cs 0.535 0.830 0.661
Cs 0.874 0.670 0.339
Cs 0.126 0.330 0.661
Cs 0.465 0.170 0.339
Rb 0.000 0.750 0.000
Rb 0.000 0.250 0.000

Output
Formation enthalpy at 0 K ... -266 meV per atom
SG ... Ibam (72)
Crystal system ... orthorhombic



VASP calculation (GGA-PBE) on an optimized crystal structure of Cs2Rb4HgBi2.

Lattice parameters (Å, degrees): 6.407 9.524 9.524 62.25 78.52 78.52
Sites, in units of the cell vectors:
Rb 0.188 0.087 0.651
Rb 0.812 0.913 0.349
Rb 0.188 0.651 0.087
Rb 0.812 0.349 0.913
Bi 0.289 0.181 0.181
Bi 0.711 0.819 0.819
Hg 0.500 0.000 0.000
Cs 0.299 0.646 0.646
Cs 0.701 0.354 0.354

Output
Formation enthalpy at 0 K ... -245 meV per atom
SG ... C2/m (12)
Crystal system ... monoclinic



VASP calculation (GGA-PBE) on an optimized crystal structure of CsRb2HgBi.

Lattice parameters (Å, degrees): 7.404 7.404 5.990 90.00 90.00 90.00
Sites, in units of the cell vectors:
Rb 0.000 0.500 0.000
Rb 0.500 0.000 0.000
Bi 0.000 0.000 0.000
Cs 0.500 0.500 0.500
Hg 0.000 0.000 0.500

Output
Formation enthalpy at 0 K ... -131 meV per atom
SG ... P4/mmm (123)
Offset from the most stable computed form ... 31 meV/atom
Crystal system ... tetragonal



VASP calculation (GGA-PBE) on an optimized crystal structure of CsRb2HgBi.

Lattice parameters (Å, degrees): 7.258 7.258 7.617 90.00 90.00 90.00
Sites, in units of the cell vectors:
Bi 0.000 0.000 0.000
Rb 0.500 0.000 0.000
Rb 0.000 0.500 0.000
Hg 0.500 0.500 0.500
Cs 0.000 0.000 0.500

Output
Formation enthalpy at 0 K ... -161 meV per atom
SG ... P4/mmm (123)
Offset from the most stable computed form ... 1 meV/atom
Crystal system ... tetragonal



no.,E_tot (eV/atom)
1,-2.62
2,-1.25
3,-1.85
4,-2.00
5,-2.52
6,-3.30
7,-2.76
8,-2.42
9,-2.57
10,-2.22
11,-1.80
12,-1.56
13,-2.05
14,-2.25
15,-2.02
16,-1.88
17,-2.06
18,-1.76
19,-1.53
20,-1.56